Na5Cd2 | GGA-PBE | optimized geometry

The structure in CIF format:
```
data_Na5Cd2
_cell_length_a 5.3255
_cell_length_b 5.3255
_cell_length_c 22.5124
_cell_angle_alpha 90.00
_cell_angle_beta 90.00
_cell_angle_gamma 120.00
_symmetry_space_group_name_H-M 'R -3 m'
_symmetry_Int_Tables_number 166
_symmetry_space_group_name_Hall '-R 3 2"'
loop_
_atom_site_label
_atom_site_type_symbol
_atom_site_fract_x
_atom_site_fract_y
_atom_site_fract_z
Na1 Na 0.0000 0.0000 0.0000
Na2 Na 0.0000 0.0000 0.1449
Na3 Na 0.0000 0.0000 0.2879
Cd1 Cd 0.0000 0.0000 0.4320
```

Summary:
**Total energy**: -1.235 eV/atom
**Mass density**: 3.06 Mg/m³

***

ZrNi6Sn | GGA-PBE | optimized geometry

The structure in CIF format:
```
data_ZrNi6Sn
_cell_length_a 5.2979
_cell_length_b 5.2979
_cell_length_c 4.2738
_cell_angle_alpha 90.00
_cell_angle_beta 90.00
_cell_angle_gamma 120.00
_symmetry_space_group_name_H-M 'P -6 m 2'
_symmetry_Int_Tables_number 187
_symmetry_space_group_name_Hall 'P -6 2'
loop_
_atom_site_label
_atom_site_type_symbol
_atom_site_fract_x
_atom_site_fract_y
_atom_site_fract_z
Zr1 Zr 0.0000 0.0000 0.0000
Ni1 Ni 0.3530 0.1765 0.5000
Ni2 Ni 0.5087 0.0174 0.0000
Sn1 Sn 0.3333 0.6667 0.5000
```

Summary:
**Total energy**: -6.033 eV/atom
**Mass density**: 8.98 Mg/m³
**Size of the total moment**: 0.0 μB per formula unit

***

Q: Which formula does entry 1 have?
A: Na5Cd2

***

Q: The lowest mass density belongs to which entry?
A: Na5Cd2